A geometry-optimized HfAl2Au structure. Source: the Alexandria database, functional PBE.

```
data_HfAl2Au
_space_group_name_H-M_alt 'P 4/m m m'
_space_group_IT_number 123
_space_group_name_Hall '-P 4 2'
_cell_length_a 4.1841
_cell_length_b 4.1841
_cell_length_c 3.9761
_cell_angle_alpha 90.00
_cell_angle_beta 90.00
_cell_angle_gamma 90.00
loop_
_atom_site_label
_atom_site_fract_x
_atom_site_fract_y
_atom_site_fract_z
Hf1 0.0000 0.0000 0.0000
Al1 0.0000 0.5000 0.5000
Au1 0.5000 0.5000 0.0000
```

Summary:
calculated formation energy = -0.490 eV per atom
M_tot = 0.000 μB/cell
theoretical density = 10.2 Mg/m³